DFT (PBE-GGA) results for a geometry-optimized DyEr3Tm structure.

## Properties
E   -89.73 eV per cell
Energy relative to the elements   0.066 eV per atom
Magnetic moment   0.000 μB per atom
E above lowest polymorph   42.0 meV/atom
Crystal system   monoclinic

Unit cell a=6.5213 b=11.0613 c=8.6140 alpha=90.00 beta=99.02 gamma=90.00
Fractional coordinates of all 20 atoms:
Dy 0.0553 0.3768 0.8488
Dy 0.9447 0.6232 0.1512
Dy 0.4447 0.8768 0.6512
Dy 0.5553 0.1232 0.3488
Er 0.8229 0.4020 0.4113
Er 0.5129 0.6767 0.3527
Er 0.2937 0.4032 0.2857
Er 0.4871 0.3233 0.6473
Er 0.1771 0.5980 0.5887
Er 0.3229 0.0980 0.9113
Er 0.6771 0.9020 0.0887
Er 0.0129 0.8233 0.8527
Er 0.2063 0.9032 0.2143
Er 0.7937 0.0968 0.7857
Er 0.9871 0.1767 0.1473
Er 0.7063 0.5968 0.7143
Tm 0.0993 0.1417 0.5219
Tm 0.9007 0.8583 0.4781
Tm 0.4007 0.6417 0.9781
Tm 0.5993 0.3583 0.0219

DFT (PBE-GGA) results for a geometry-optimized DyEr4Tm3 structure.

## Properties
E   -72.58 eV per cell
Energy relative to the elements   -0.002 eV per atom
Magnetic moment   0.000 μB per atom
E above lowest polymorph   0.0 meV/atom
Crystal system   orthorhombic

Unit cell a=6.1863 b=7.1567 c=11.0593 alpha=90.00 beta=90.00 gamma=90.00
Fractional coordinates of all 16 atoms:
Tm 0.9812 0.6249 0.7500
Tm 0.1478 0.3752 0.5000
Tm 0.4812 0.3751 0.2500
Tm 0.4812 0.3751 0.7500
Tm 0.9812 0.6249 0.2500
Tm 0.6478 0.6248 0.0000
Er 0.9811 0.1251 0.7493
Er 0.6481 0.1254 0.0000
Er 0.4811 0.8749 0.2493
Er 0.4811 0.8749 0.7507
Er 0.6470 0.1252 0.5000
Er 0.9811 0.1251 0.2507
Er 0.1470 0.8748 0.0000
Er 0.1481 0.8746 0.5000
Dy 0.1479 0.3753 0.0000
Dy 0.6479 0.6247 0.5000

DFT (PBE-GGA) results for a geometry-optimized Dy5Er4Tm2 structure.

## Properties
E   -47.62 eV per cell
Energy relative to the elements   0.235 eV per atom
Magnetic moment   0.000 μB per atom
E above lowest polymorph   95.6 meV/atom
Crystal system   orthorhombic

Unit cell a=3.4612 b=8.9079 c=12.4476 alpha=110.97 beta=97.99 gamma=90.00
Fractional coordinates of all 11 atoms:
Tm 0.7310 0.7310 0.4620
Tm 0.2690 0.2690 0.5380
Er 0.0000 0.3106 0.0000
Er 0.0000 0.6894 0.0000
Er 0.4029 0.4029 0.8059
Er 0.5971 0.5971 0.1941
Dy 0.8551 0.0539 0.7101
Dy 0.5000 0.0000 0.0000
Dy 0.1449 0.9461 0.2899
Dy 0.8551 0.6563 0.7101
Dy 0.1449 0.3437 0.2899

DFT (PBE-GGA) results for a geometry-optimized Dy6Er12Tm structure.

## Properties
E   -82.70 eV per cell
Energy relative to the elements   0.218 eV per atom
Magnetic moment   0.000 μB per atom
E above lowest polymorph   56.9 meV/atom
Crystal system   trigonal

Unit cell a=8.5727 b=8.5727 c=8.5727 alpha=98.47 beta=98.47 gamma=98.47
Fractional coordinates of all 19 atoms:
Er 0.0830 0.3548 0.3548
Er 0.9170 0.6452 0.6452
Er 0.7577 0.5000 0.2424
Er 0.2424 0.5000 0.7577
Er 0.7577 0.2424 0.5000
Er 0.3548 0.3548 0.0830
Er 0.6452 0.6452 0.9170
Er 0.5000 0.2424 0.7577
Er 0.6452 0.9170 0.6452
Er 0.3548 0.0830 0.3548
Er 0.2424 0.7577 0.5000
Er 0.5000 0.7577 0.2424
Dy 0.9009 0.3416 0.9009
Dy 0.9009 0.9009 0.3416
Dy 0.0991 0.0991 0.6584
Dy 0.6584 0.0991 0.0991
Dy 0.3416 0.9009 0.9009
Dy 0.0991 0.6584 0.0991
Tm 0.0000 0.0000 0.0000

DFT (PBE-GGA) results for a geometry-optimized Dy4Er2Tm7 structure.

## Properties
E   -56.56 eV per cell
Energy relative to the elements   0.175 eV per atom
Magnetic moment   0.000 μB per atom
Crystal system   trigonal

Unit cell a=5.9735 b=5.9735 c=13.1395 alpha=90.00 beta=90.00 gamma=120.00
Fractional coordinates of all 13 atoms:
Er 0.6667 0.3333 0.0000
Er 0.3333 0.6667 0.0000
Tm 0.3517 0.0000 0.2132
Tm 0.3517 0.3517 0.7868
Tm 0.6483 0.0000 0.7868
Tm 0.0000 0.3517 0.2132
Tm 0.6483 0.6483 0.2132
Tm 0.0000 0.6483 0.7868
Tm 0.0000 0.0000 0.0000
Dy 0.0000 0.0000 0.6066
Dy 0.3333 0.6667 0.5000
Dy 0.6667 0.3333 0.5000
Dy 0.0000 0.0000 0.3934

DFT (PBE-GGA) results for a geometry-optimized Dy6Er4Tm structure.

## Properties
E   -46.95 eV per cell
Energy relative to the elements   0.308 eV per atom
Magnetic moment   0.000 μB per atom
E above lowest polymorph   176.6 meV/atom
Crystal system   tetragonal

Unit cell a=6.4873 b=6.4873 c=9.6302 alpha=109.68 beta=109.68 gamma=90.00
Fractional coordinates of all 11 atoms:
Tm 0.5000 0.5000 0.0000
Er 0.0481 0.6891 0.7372
Er 0.3109 0.3109 0.2628
Er 0.6891 0.0481 0.7372
Er 0.9519 0.9519 0.2628
Dy 0.5000 0.0000 0.0000
Dy 0.0000 0.5000 0.0000
Dy 0.5133 0.5133 0.6531
Dy 0.8602 0.4867 0.3469
Dy 0.4867 0.8602 0.3469
Dy 0.1398 0.1398 0.6531

DFT (PBE-GGA) results for a geometry-optimized Dy4Er4Tm3 structure.

## Properties
E   -48.00 eV per cell
Energy relative to the elements   0.189 eV per atom
Magnetic moment   0.000 μB per atom
E above lowest polymorph   125.3 meV/atom
Crystal system   monoclinic

Unit cell a=3.5138 b=11.0098 c=10.6792 alpha=121.03 beta=99.21 gamma=90.00
Fractional coordinates of all 11 atoms:
Tm 0.0000 0.5000 0.0000
Tm 0.1092 0.1086 0.2171
Tm 0.8908 0.8914 0.7829
Dy 0.7747 0.2765 0.5531
Dy 0.2253 0.7235 0.4469
Dy 0.5000 0.2043 0.0000
Dy 0.5000 0.7957 0.0000
Er 0.6723 0.9089 0.3394
Er 0.3277 0.5695 0.6606
Er 0.3277 0.0911 0.6606
Er 0.6723 0.4305 0.3394

DFT (PBE-GGA) results for a geometry-optimized Dy3ErTm structure.

## Properties
E   -42.05 eV per cell
Energy relative to the elements   0.363 eV per atom
Magnetic moment   0.000 μB per atom
E above lowest polymorph   267.2 meV/atom
Crystal system   orthorhombic

Unit cell a=7.7585 b=7.7585 c=6.1357 alpha=90.00 beta=90.00 gamma=117.74
Fractional coordinates of all 10 atoms:
Tm 0.9703 0.0297 0.7412
Tm 0.0297 0.9703 0.2412
Dy 0.3957 0.2108 0.9775
Dy 0.8022 0.1978 0.0481
Dy 0.1978 0.8022 0.5481
Dy 0.7892 0.6043 0.9775
Dy 0.2108 0.3957 0.4775
Dy 0.6043 0.7892 0.4775
Er 0.6696 0.3304 0.5057
Er 0.3304 0.6696 0.0057